## Li2TlHg7 (PBE-GGA)

Data for a relaxed Li2TlHg7 crystal.

Summary:
E_tot	-0.949	eV per atom
DOS at the Fermi energy	4.61	states/eV/f.u.
formation energy from the elements	-114	kJ/mol of formula units
V	25.13	Å³/atom
polymorph energy (0 for the lowest one)	0.00	eV per formula unit
spin magnetization	0.00	Bohr magnetons per cell

abc: 11.9820 11.9820 11.9820
angles: 157.52 157.52 32.00
Last column: nearest neighbours and their distance in Å.
Atoms (fractional coordinates):
Li (0.1801, 0.1801, 0.0000)  8 Hg 2.84
Li (0.8199, 0.8199, 0.0000)  8 Hg 2.84
Tl (0.5000, 0.5000, 0.0000)  12 Hg 3.30-3.45
Hg (0.0000, 0.0000, 0.0000)  4 Tl 3.30, 8 Hg 3.45
Hg (0.1101, 0.6101, 0.5000)  2 Li 2.84
Hg (0.2500, 0.7500, 0.5000)  4 Li 2.84
Hg (0.3899, 0.8899, 0.5000)  2 Li 2.84
Hg (0.6101, 0.1101, 0.5000)  2 Li 2.84
Hg (0.7500, 0.2500, 0.5000)  4 Li 2.84
Hg (0.8899, 0.3899, 0.5000)  2 Li 2.84